Density functional theory data (GGA-PBE) for a relaxed structure of CdC.

Formation energy: 126 kJ/mol of formula units
Energy above the most stable polymorph in this dataset: 236 meV/atom
SG: Cmme (67)
Total moment: 0.00 μB per atom
N(E_F): 0.6 states/eV per cell

Lattice parameters (Å, degrees): 3.338 3.338 9.603 90.00 90.00 133.49
Positions (direct):
C: 0.000 0.000 0.874
C: 0.500 0.500 0.876
Cd: 0.000 0.000 0.532
Cd: 0.500 0.500 0.218

Density functional theory data (GGA-PBE) for a relaxed structure of CdC.

Formation energy: 406 kJ/mol of formula units
Energy above the most stable polymorph in this dataset: 1689 meV/atom
SG: F-43m (216)
Total moment: 0.00 μB per atom
N(E_F): 1.8 states/eV per cell

Lattice parameters (Å, degrees): 3.670 3.670 3.670 60.00 60.00 60.00
Positions (direct):
C: 0.000 0.000 0.000
Cd: 0.750 0.750 0.750

Density functional theory data (GGA-PBE) for a relaxed structure of Cd3C.

Formation energy: 164 kJ/mol of formula units
Energy above the most stable polymorph in this dataset: 0 meV/atom
SG: Cmcm (63)
Total moment: 0.00 μB per atom
N(E_F): 3.0 states/eV per cell

Lattice parameters (Å, degrees): 9.251 9.251 2.721 90.00 90.00 130.34
Positions (direct):
Cd: 0.083 0.917 0.750
Cd: 0.917 0.083 0.250
Cd: 0.141 0.475 0.750
Cd: 0.859 0.525 0.250
Cd: 0.525 0.859 0.750
Cd: 0.475 0.141 0.250
C: 0.505 0.495 0.250
C: 0.495 0.505 0.750

Density functional theory data (GGA-PBE) for a relaxed structure of CdC2.

Formation energy: 869 kJ/mol of formula units
Energy above the most stable polymorph in this dataset: 2607 meV/atom
SG: Fm-3m (225)
Total moment: 0.00 μB per atom
N(E_F): 0.8 states/eV per cell

Lattice parameters (Å, degrees): 3.839 3.839 3.839 60.00 60.00 60.00
Positions (direct):
C: 0.250 0.250 0.250
C: 0.750 0.750 0.750
Cd: 0.000 0.000 0.000

Density functional theory data (GGA-PBE) for a relaxed structure of CdC3.

Formation energy: 1222 kJ/mol of formula units
Energy above the most stable polymorph in this dataset: 2558 meV/atom
SG: Im-3m (229)
Total moment: 0.00 μB per atom
N(E_F): 3.7 states/eV per cell

Lattice parameters (Å, degrees): 3.791 3.791 3.791 109.49 109.47 109.47
Positions (direct):
C: 0.000 0.000 0.000
C: 0.000 0.500 0.500
C: 0.500 0.000 0.500
Cd: 0.500 0.500 0.000

Density functional theory data (GGA-PBE) for a relaxed structure of CdC3.

Formation energy: 489 kJ/mol of formula units
Energy above the most stable polymorph in this dataset: 660 meV/atom
SG: C2/m (12)
Total moment: 0.00 μB per atom
N(E_F): 1.6 states/eV per cell

Lattice parameters (Å, degrees): 5.684 3.464 3.459 120.11 107.60 90.02
Positions (direct):
C: 0.089 0.419 0.671
C: 0.578 0.581 0.996
C: 0.333 0.500 0.833
Cd: 0.833 0.000 0.833

Density functional theory data (GGA-PBE) for a relaxed structure of Cd3C.

Formation energy: 483 kJ/mol of formula units
Energy above the most stable polymorph in this dataset: 827 meV/atom
SG: Pm-3n (223)
Total moment: 0.00 μB per atom
N(E_F): 3.0 states/eV per cell

Lattice parameters (Å, degrees): 5.324 5.324 5.324 90.00 90.00 90.00
Positions (direct):
Cd: 0.750 0.500 0.000
Cd: 0.250 0.500 0.000
Cd: 0.000 0.750 0.500
Cd: 0.000 0.250 0.500
Cd: 0.500 0.000 0.250
Cd: 0.500 0.000 0.750
C: 0.000 0.000 0.000
C: 0.500 0.500 0.500

Density functional theory data (GGA-PBE) for a relaxed structure of CdC.

Formation energy: 415 kJ/mol of formula units
Energy above the most stable polymorph in this dataset: 1734 meV/atom
SG: Pm-3m (221)
Total moment: 0.00 μB per atom
N(E_F): 1.0 states/eV per cell

Lattice parameters (Å, degrees): 3.028 3.028 3.028 90.00 90.00 90.00
Positions (direct):
C: 0.000 0.000 0.000
Cd: 0.500 0.500 0.500

> Look up the total moment of the seventh one.

0.00 μB per atom

> What is the formation energy in the third record?

164 kJ/mol of formula units

> formation energy of number 6 (CdC3)?

489 kJ/mol of formula units

Copy entry 7 word for word.
Density functional theory data (GGA-PBE) for a relaxed structure of Cd3C.

Formation energy: 483 kJ/mol of formula units
Energy above the most stable polymorph in this dataset: 827 meV/atom
SG: Pm-3n (223)
Total moment: 0.00 μB per atom
N(E_F): 3.0 states/eV per cell

Lattice parameters (Å, degrees): 5.324 5.324 5.324 90.00 90.00 90.00
Positions (direct):
Cd: 0.750 0.500 0.000
Cd: 0.250 0.500 0.000
Cd: 0.000 0.750 0.500
Cd: 0.000 0.250 0.500
Cd: 0.500 0.000 0.250
Cd: 0.500 0.000 0.750
C: 0.000 0.000 0.000
C: 0.500 0.500 0.500